Compound: AcPr4Nd2Tm
Source: the Alexandria database
Functional: PBE
Structure: optimized geometry

Values from the calculation:
N(E_F) in states/eV per cell: 17.4
DFT formation energy in eV per atom: 0.113

a b c (Å): 6.1117 6.1378 7.6965
angles (deg): 90.00 90.09 90.00
Space group P2/m (No. 10)
One atom of each set of equivalent atoms:
1 Ac 0.0000 0.0000 0.0000
2 Pr 0.0008 0.5000 0.7324
3 Pr 0.4994 0.0000 0.7318
4 Nd 0.0000 0.0000 0.5000
5 Nd 0.5000 0.5000 0.0000
6 Tm 0.5000 0.5000 0.5000

Compound: Ac5PrNd2Tm
Source: the Alexandria database
Functional: PBE
Structure: optimized geometry

Values from the calculation:
N(E_F) in states/eV per cell: 56.1
DFT formation energy in eV per atom: 0.285

a b c (Å): 8.4245 8.4245 20.9676
angles (deg): 90.00 90.00 90.00
Space group I4/mcm (No. 140)
One atom of each set of equivalent atoms:
1 Ac 0.0000 0.0000 0.0000
2 Ac 0.2222 0.2778 0.1356
3 Pr 0.0000 0.0000 0.2500
4 Nd 0.1225 0.3775 0.5000
5 Tm 0.0000 0.5000 0.2500

Compound: AcPr3NdTm
Source: the Alexandria database
Functional: PBE
Structure: optimized geometry

Values from the calculation:
N(E_F) in states/eV per cell: 36.3
DFT formation energy in eV per atom: 0.218

a b c (Å): 21.1091 5.9240 7.1391
angles (deg): 90.00 90.86 90.00
Space group C2/m (No. 12)
One atom of each set of equivalent atoms:
1 Ac 0.1475 0.0000 0.0440
2 Pr 0.0171 0.0000 0.7473
3 Pr 0.1569 0.5000 0.7583
4 Pr 0.2201 0.5000 0.2828
5 Nd 0.1401 0.0000 0.4984
6 Tm 0.0597 0.5000 0.3037

Compound: Ac2PrNdTm
Source: the Alexandria database
Functional: PBE
Structure: optimized geometry

Values from the calculation:
N(E_F) in states/eV per cell: 13.3
DFT formation energy in eV per atom: 0.239

a b c (Å): 6.5047 8.8323 6.8740
angles (deg): 90.00 90.00 90.00
Space group Pmma (No. 51)
One atom of each set of equivalent atoms:
1 Ac 0.2500 0.2076 0.2128
2 Pr 0.2500 0.5000 0.9124
3 Nd 0.2500 0.0000 0.6849
4 Tm 0.0000 0.5000 0.5000